First-principles (GGA-PBE) data for a relaxed Sc3Be2Cu7 crystal, as listed in Alexandria via LeMat-Bulk.

abc: 8.226 8.226 8.226
angles: 35.31 35.31 35.31
Atoms (fractional coordinates):
Sc 0.000 0.000 0.000
Sc 0.141 0.141 0.141
Sc 0.859 0.859 0.859
Be 0.333 0.333 0.333
Be 0.667 0.667 0.667
Cu 0.076 0.578 0.578
Cu 0.422 0.422 0.924
Cu 0.422 0.924 0.422
Cu 0.500 0.500 0.500
Cu 0.578 0.076 0.578
Cu 0.578 0.578 0.076
Cu 0.924 0.422 0.422

Symmetry: R-3m, No. 166
E_form, eV/f.u.: -2.53
Total energy, eV per atom: -4.80